(1)
# GaAgN | the Alexandria database | PBE-GGA | relaxed
data_GaAgN
_cell_length_a 3.2039
_cell_length_b 4.2583
_cell_length_c 7.8220
_cell_angle_alpha 85.17
_cell_angle_beta 101.65
_cell_angle_gamma 90.15
_space_group_name_H-M_alt 'P 1'
_space_group_IT_number 1
loop_
_space_group_symop_operation_xyz
'x,y,z'
loop_
_atom_site_label
_atom_site_type_symbol
_atom_site_fract_x
_atom_site_fract_y
_atom_site_fract_z
N1 N 0.8583 0.6668 0.7111
N2 N 0.1417 0.3332 0.2889
Ag1 Ag 0.1833 0.8249 0.3724
Ag2 Ag 0.8167 0.1751 0.6276
Ga1 Ga 0.4228 0.5986 0.8422
Ga2 Ga 0.5772 0.4014 0.1578
# formation energy (no corrections)	0.355	eV/atom
# DOS at the Fermi energy	0.04	states/eV/f.u.
# V	17.4	A^3/atom
# energy	-26.28	eV/cell
# crystal system	triclinic

=====

(2)
# GaAg2N2 | the Alexandria database | PBE-GGA | relaxed
data_GaAg2N2
_cell_length_a 4.6021
_cell_length_b 4.6021
_cell_length_c 5.2670
_cell_angle_alpha 64.09
_cell_angle_beta 64.09
_cell_angle_gamma 90.00
_space_group_name_H-M_alt 'P 1'
_space_group_IT_number 1
loop_
_space_group_symop_operation_xyz
'x,y,z'
loop_
_atom_site_label
_atom_site_type_symbol
_atom_site_fract_x
_atom_site_fract_y
_atom_site_fract_z
Ga1 Ga 0.0000 0.0000 0.0000
Ag1 Ag 0.7500 0.2500 0.5000
Ag2 Ag 0.2500 0.7500 0.5000
N1 N 0.4305 0.4305 0.1390
N2 N 0.5695 0.5695 0.8610
# formation energy (no corrections)	0.629	eV/atom
# DOS at the Fermi energy	2.20	states/eV/f.u.
# energy above the most stable polymorph in this dataset	98.2	meV/atom
# V	17.5	A^3/atom
# energy	-22.24	eV/cell
# crystal system	tetragonal

=====

(3)
# GaAg2N2 | the Alexandria database | PBE-GGA | relaxed
data_GaAg2N2
_cell_length_a 5.5413
_cell_length_b 5.5413
_cell_length_c 5.9562
_cell_angle_alpha 90.00
_cell_angle_beta 90.00
_cell_angle_gamma 90.00
_space_group_name_H-M_alt 'P 1'
_space_group_IT_number 1
loop_
_space_group_symop_operation_xyz
'x,y,z'
loop_
_atom_site_label
_atom_site_type_symbol
_atom_site_fract_x
_atom_site_fract_y
_atom_site_fract_z
Ga1 Ga 0.0000 0.0000 0.0000
Ga2 Ga 0.5000 0.5000 0.0000
Ag1 Ag 0.1907 0.6907 0.5000
Ag2 Ag 0.6907 0.8093 0.5000
Ag3 Ag 0.8093 0.3093 0.5000
Ag4 Ag 0.3093 0.1907 0.5000
N1 N 0.4256 0.9256 0.0000
N2 N 0.9256 0.5744 0.0000
N3 N 0.5744 0.0744 0.0000
N4 N 0.0744 0.4256 0.0000
# formation energy (no corrections)	0.530	eV/atom
# DOS at the Fermi energy	2.57	states/eV/f.u.
# energy above the most stable polymorph in this dataset	0.0	meV/atom
# V	18.3	A^3/atom
# energy	-45.46	eV/cell
# crystal system	tetragonal

=====

(4)
# GaAg2N | the Alexandria database | PBE-GGA | relaxed
data_GaAg2N
_cell_length_a 4.3589
_cell_length_b 4.3589
_cell_length_c 4.3589
_cell_angle_alpha 60.00
_cell_angle_beta 60.00
_cell_angle_gamma 60.00
_space_group_name_H-M_alt 'P 1'
_space_group_IT_number 1
loop_
_space_group_symop_operation_xyz
'x,y,z'
loop_
_atom_site_label
_atom_site_type_symbol
_atom_site_fract_x
_atom_site_fract_y
_atom_site_fract_z
Ga1 Ga 0.5000 0.5000 0.5000
Ag1 Ag 0.2500 0.2500 0.2500
Ag2 Ag 0.7500 0.7500 0.7500
N1 N 0.0000 0.0000 0.0000
# formation energy (no corrections)	0.876	eV/atom
# DOS at the Fermi energy	0.34	states/eV/f.u.
# energy above the most stable polymorph in this dataset	96.2	meV/atom
# V	14.6	A^3/atom
# energy	-13.55	eV/cell
# crystal system	cubic

=====

(5)
# GaAg2N | the Alexandria database | PBE-GGA | relaxed
data_GaAg2N
_cell_length_a 5.1732
_cell_length_b 5.1732
_cell_length_c 7.1294
_cell_angle_alpha 68.73
_cell_angle_beta 68.73
_cell_angle_gamma 90.00
_space_group_name_H-M_alt 'P 1'
_space_group_IT_number 1
loop_
_space_group_symop_operation_xyz
'x,y,z'
loop_
_atom_site_label
_atom_site_type_symbol
_atom_site_fract_x
_atom_site_fract_y
_atom_site_fract_z
Ga1 Ga 0.0000 0.0000 0.0000
Ga2 Ga 0.7500 0.2500 0.5000
Ag1 Ag 0.4897 0.1250 0.2500
Ag2 Ag 0.2603 0.6250 0.2500
Ag3 Ag 0.3750 0.5103 0.7500
Ag4 Ag 0.8750 0.7397 0.7500
N1 N 0.5000 0.5000 0.0000
N2 N 0.2500 0.7500 0.5000
# formation energy (no corrections)	0.779	eV/atom
# DOS at the Fermi energy	0.00	states/eV/f.u.
# energy above the most stable polymorph in this dataset	0.0	meV/atom
# V	20.5	A^3/atom
# energy	-27.87	eV/cell
# crystal system	tetragonal

=====

(6)
# NaGa2AgN | the Alexandria database | PBE-GGA | relaxed
data_NaGa2AgN
_cell_length_a 4.8361
_cell_length_b 5.3644
_cell_length_c 4.8361
_cell_angle_alpha 90.00
_cell_angle_beta 90.00
_cell_angle_gamma 90.00
_space_group_name_H-M_alt 'P 1'
_space_group_IT_number 1
loop_
_space_group_symop_operation_xyz
'x,y,z'
loop_
_atom_site_label
_atom_site_type_symbol
_atom_site_fract_x
_atom_site_fract_y
_atom_site_fract_z
Na1 Na 0.0000 0.5000 0.0000
Ga1 Ga 0.0000 0.0000 0.5000
Ga2 Ga 0.5000 0.0000 0.0000
Ag1 Ag 0.0000 0.0000 0.0000
N1 N 0.5000 0.5000 0.5000
# formation energy (no corrections)	1.174	eV/atom
# DOS at the Fermi energy	4.61	states/eV/f.u.
# V	25.1	A^3/atom
# energy	-12.68	eV/cell
# crystal system	tetragonal

=====

(7)
# GaAgNO2 | the Alexandria database | PBE-GGA | relaxed
data_GaAgNO2
_cell_length_a 4.1422
_cell_length_b 4.1422
_cell_length_c 3.9904
_cell_angle_alpha 90.00
_cell_angle_beta 90.00
_cell_angle_gamma 90.00
_space_group_name_H-M_alt 'P 1'
_space_group_IT_number 1
loop_
_space_group_symop_operation_xyz
'x,y,z'
loop_
_atom_site_label
_atom_site_type_symbol
_atom_site_fract_x
_atom_site_fract_y
_atom_site_fract_z
O1 O 0.0000 0.5000 0.0000
O2 O 0.5000 0.0000 0.0000
Ga1 Ga 0.5000 0.5000 0.5000
Ag1 Ag 0.0000 0.0000 0.0000
N1 N 0.0000 0.0000 0.5000
# formation energy (no corrections)	0.957	eV/atom
# DOS at the Fermi energy	2.54	states/eV/f.u.
# V	13.7	A^3/atom
# energy	-19.33	eV/cell
# crystal system	tetragonal

=====

(8)
# GaAgNO2 | the Alexandria database | PBE-GGA | relaxed
data_GaAgNO2
_cell_length_a 3.9179
_cell_length_b 3.9179
_cell_length_c 3.9848
_cell_angle_alpha 90.00
_cell_angle_beta 90.00
_cell_angle_gamma 90.00
_space_group_name_H-M_alt 'P 1'
_space_group_IT_number 1
loop_
_space_group_symop_operation_xyz
'x,y,z'
loop_
_atom_site_label
_atom_site_type_symbol
_atom_site_fract_x
_atom_site_fract_y
_atom_site_fract_z
O1 O 0.0000 0.5000 0.0000
O2 O 0.5000 0.0000 0.0000
Ga1 Ga 0.0000 0.0000 0.0000
Ag1 Ag 0.5000 0.5000 0.5000
N1 N 0.0000 0.0000 0.5000
# formation energy (no corrections)	0.261	eV/atom
# DOS at the Fermi energy	2.68	states/eV/f.u.
# V	12.2	A^3/atom
# energy	-22.81	eV/cell
# crystal system	tetragonal

=====

(9)
# GaAgSN2 | the Alexandria database | PBE-GGA | relaxed
data_GaAgSN2
_cell_length_a 3.8722
_cell_length_b 3.8722
_cell_length_c 5.3078
_cell_angle_alpha 90.00
_cell_angle_beta 90.00
_cell_angle_gamma 90.00
_space_group_name_H-M_alt 'P 1'
_space_group_IT_number 1
loop_
_space_group_symop_operation_xyz
'x,y,z'
loop_
_atom_site_label
_atom_site_type_symbol
_atom_site_fract_x
_atom_site_fract_y
_atom_site_fract_z
S1 S 0.0000 0.0000 0.5000
Ga1 Ga 0.0000 0.0000 0.0000
Ag1 Ag 0.5000 0.5000 0.5000
N1 N 0.0000 0.5000 0.0000
N2 N 0.5000 0.0000 0.0000
# formation energy (no corrections)	1.194	eV/atom
# DOS at the Fermi energy	2.88	states/eV/f.u.
# energy above the most stable polymorph in this dataset	0.0	meV/atom
# V	15.9	A^3/atom
# energy	-20.69	eV/cell
# crystal system	tetragonal

=====

(10)
# GaAgS2N | the Alexandria database | PBE-GGA | relaxed
data_GaAgS2N
_cell_length_a 5.0123
_cell_length_b 5.0123
_cell_length_c 4.0147
_cell_angle_alpha 90.00
_cell_angle_beta 90.00
_cell_angle_gamma 90.00
_space_group_name_H-M_alt 'P 1'
_space_group_IT_number 1
loop_
_space_group_symop_operation_xyz
'x,y,z'
loop_
_atom_site_label
_atom_site_type_symbol
_atom_site_fract_x
_atom_site_fract_y
_atom_site_fract_z
S1 S 0.0000 0.5000 0.0000
S2 S 0.5000 0.0000 0.0000
Ga1 Ga 0.5000 0.5000 0.5000
Ag1 Ag 0.0000 0.0000 0.0000
N1 N 0.0000 0.0000 0.5000
# formation energy (no corrections)	1.144	eV/atom
# DOS at the Fermi energy	6.27	states/eV/f.u.
# energy above the most stable polymorph in this dataset	308.6	meV/atom
# V	20.2	A^3/atom
# energy	-16.74	eV/cell
# crystal system	tetragonal

=====

(11)
# GaAgS2N | the Alexandria database | PBE-GGA | relaxed
data_GaAgS2N
_cell_length_a 4.9271
_cell_length_b 4.9271
_cell_length_c 3.6730
_cell_angle_alpha 90.00
_cell_angle_beta 90.00
_cell_angle_gamma 90.00
_space_group_name_H-M_alt 'P 1'
_space_group_IT_number 1
loop_
_space_group_symop_operation_xyz
'x,y,z'
loop_
_atom_site_label
_atom_site_type_symbol
_atom_site_fract_x
_atom_site_fract_y
_atom_site_fract_z
S1 S 0.0000 0.5000 0.0000
S2 S 0.5000 0.0000 0.0000
Ga1 Ga 0.0000 0.0000 0.0000
Ag1 Ag 0.5000 0.5000 0.5000
N1 N 0.0000 0.0000 0.5000
# formation energy (no corrections)	0.836	eV/atom
# DOS at the Fermi energy	5.18	states/eV/f.u.
# energy above the most stable polymorph in this dataset	0.0	meV/atom
# V	17.8	A^3/atom
# energy	-18.28	eV/cell
# crystal system	tetragonal

=====

(12)
# GaAgSN2 | the Alexandria database | PBE-GGA | relaxed
data_GaAgSN2
_cell_length_a 4.0782
_cell_length_b 4.0782
_cell_length_c 5.4015
_cell_angle_alpha 90.00
_cell_angle_beta 90.00
_cell_angle_gamma 90.00
_space_group_name_H-M_alt 'P 1'
_space_group_IT_number 1
loop_
_space_group_symop_operation_xyz
'x,y,z'
loop_
_atom_site_label
_atom_site_type_symbol
_atom_site_fract_x
_atom_site_fract_y
_atom_site_fract_z
S1 S 0.0000 0.0000 0.5000
Ga1 Ga 0.5000 0.5000 0.5000
Ag1 Ag 0.0000 0.0000 0.0000
N1 N 0.0000 0.5000 0.0000
N2 N 0.5000 0.0000 0.0000
# formation energy (no corrections)	1.677	eV/atom
# DOS at the Fermi energy	3.16	states/eV/f.u.
# energy above the most stable polymorph in this dataset	483.1	meV/atom
# V	18.0	A^3/atom
# energy	-18.27	eV/cell
# crystal system	tetragonal